No. 1
## BaZr2Te (PBE-GGA)

Data for a geometry-optimized BaZr2Te structure.

Cell lengths 6.536, 6.536, 6.536 Å; angles 147.83, 129.07, 61.53 degrees
Atoms (fractional coordinates):
Zr 0.776 0.276 0.500
Zr 0.009 0.009 0.000
Te 0.219 0.719 0.500
Ba 0.497 0.497 0.000

Its crystal system is orthorhombic. The spin magnetization comes out at 0.00 μB per cell. Its space group is Imm2 (44). The value obtained for the total DFT energy (no corrections) is -21.79 eV for the cell shown.

No. 2
## Ba2ZrTe (PBE-GGA)

Data for a geometry-optimized Ba2ZrTe structure.

Cell lengths 4.391, 4.385, 8.099 Å; angles 90.00, 90.00, 90.00 degrees
Site moments in Bohr magnetons follow the coordinates.
Atoms (fractional coordinates):
Ba 0.000 0.000 0.482  0.18
Ba 0.000 0.000 0.018  0.18
Zr 0.500 0.500 0.750  1.51
Te 0.500 0.500 0.250  -0.01

Its crystal system is tetragonal. The spin magnetization comes out at 3.74 μB per cell. Its space group is P4/mmm (123). The value obtained for the total DFT energy (no corrections) is -16.36 eV for the cell shown.

No. 3
## BaZrTe (PBE-GGA)

Data for a geometry-optimized BaZrTe structure.

Cell lengths 4.077, 4.077, 7.271 Å; angles 90.00, 90.00, 120.00 degrees
Site moments in Bohr magnetons follow the coordinates.
Atoms (fractional coordinates):
Ba 0.000 0.000 0.023  0.07
Zr 0.333 0.667 0.604  0.07
Te 0.667 0.333 0.374  0.00

Its crystal system is trigonal. The value obtained for the distance to the lowest polymorph of the same formula is 95 meV/atom. The spin magnetization comes out at 0.31 μB per cell. Its space group is P3m1 (156).

No. 4
## Ba2ZrTe (PBE-GGA)

Data for a geometry-optimized Ba2ZrTe structure.

Cell lengths 7.238, 7.238, 7.238 Å; angles 147.74, 131.06, 59.84 degrees
Site moments in Bohr magnetons follow the coordinates.
Atoms (fractional coordinates):
Zr 0.297 0.797 0.500  0.26
Te 0.468 0.468 0.000  0.00
Ba 0.715 0.215 0.500  0.01
Ba 0.019 0.019 0.000  0.04

Its crystal system is orthorhombic. The spin magnetization comes out at 0.66 μB per cell. Its space group is Imm2 (44). The value obtained for the total DFT energy (no corrections) is -16.59 eV for the cell shown.

No. 5
## BaZr2Te (PBE-GGA)

Data for a geometry-optimized BaZr2Te structure.

Cell lengths 6.037, 6.037, 6.037 Å; angles 134.59, 134.59, 66.17 degrees
Atoms (fractional coordinates):
Zr 0.000 0.000 0.000
Zr 0.500 0.500 0.000
Ba 0.250 0.750 0.500
Te 0.750 0.250 0.500

Its crystal system is tetragonal. The spin magnetization comes out at 0.00 μB per cell. Its space group is I4/mmm (139). The value obtained for the total DFT energy (no corrections) is -21.55 eV for the cell shown.

No. 6
## BaZr2Te (PBE-GGA)

Data for a geometry-optimized BaZr2Te structure.

Cell lengths 5.425, 5.425, 5.425 Å; angles 60.00, 60.00, 60.00 degrees
Site moments in Bohr magnetons follow the coordinates.
Atoms (fractional coordinates):
Ba 0.500 0.500 0.500  0.01
Zr 0.250 0.250 0.250  0.57
Zr 0.000 0.000 0.000  0.24
Te 0.750 0.750 0.750  0.01

Its crystal system is cubic. The spin magnetization comes out at 1.27 μB per cell. Its space group is F-43m (216). The value obtained for the total DFT energy (no corrections) is -21.19 eV for the cell shown.

No. 7
## Ba2ZrTe (PBE-GGA)

Data for a geometry-optimized Ba2ZrTe structure.

Cell lengths 3.977, 3.977, 9.750 Å; angles 90.00, 90.00, 90.00 degrees
Site moments in Bohr magnetons follow the coordinates.
Atoms (fractional coordinates):
Te 0.000 0.000 0.568  -0.01
Ba 0.000 0.000 0.937  -0.01
Ba 0.500 0.500 0.317  0.04
Zr 0.500 0.500 0.679  0.27

Its crystal system is tetragonal. The spin magnetization comes out at 0.42 μB per cell. Its space group is P4mm (99). The value obtained for the total DFT energy (no corrections) is -16.82 eV for the cell shown.

No. 8
## Ba2ZrTe (PBE-GGA)

Data for a geometry-optimized Ba2ZrTe structure.

Cell lengths 6.883, 6.883, 6.883 Å; angles 137.03, 137.03, 62.39 degrees
Site moments in Bohr magnetons follow the coordinates.
Atoms (fractional coordinates):
Te 0.500 0.500 0.000  -0.01
Ba 0.000 0.000 0.000  0.10
Ba 0.250 0.750 0.500  0.11
Zr 0.750 0.250 0.500  1.14

Its crystal system is tetragonal. The spin magnetization comes out at 2.38 μB per cell. Its space group is I-4m2 (119). The value obtained for the total DFT energy (no corrections) is -15.61 eV for the cell shown.

No. 9
## BaZr2Te (PBE-GGA)

Data for a geometry-optimized BaZr2Te structure.

Cell lengths 10.482, 10.482, 10.482 Å; angles 20.33, 20.33, 20.33 degrees
Atoms (fractional coordinates):
Te 0.737 0.737 0.737
Zr 0.006 0.006 0.006
Zr 0.264 0.264 0.264
Ba 0.494 0.494 0.494

Its crystal system is trigonal. The spin magnetization comes out at 0.00 μB per cell. Its space group is R3m (160). The value obtained for the total DFT energy (no corrections) is -22.78 eV for the cell shown.

No. 10
## BaZr2Te (PBE-GGA)

Data for a geometry-optimized BaZr2Te structure.

Cell lengths 10.278, 10.278, 10.278 Å; angles 20.46, 20.46, 20.46 degrees
Atoms (fractional coordinates):
Zr 0.485 0.485 0.485
Zr 0.015 0.015 0.015
Te 0.750 0.750 0.750
Ba 0.250 0.250 0.250

Its crystal system is trigonal. The spin magnetization comes out at 0.00 μB per cell. Its space group is R-3m (166). The value obtained for the total DFT energy (no corrections) is -21.85 eV for the cell shown.

No. 11
## BaZrTe (PBE-GGA)

Data for a geometry-optimized BaZrTe structure.

Cell lengths 5.641, 5.641, 5.641 Å; angles 60.00, 60.00, 60.00 degrees
Site moments in Bohr magnetons follow the coordinates.
Atoms (fractional coordinates):
Te 0.000 0.000 0.000  -0.04
Zr 0.500 0.500 0.500  1.93
Ba 0.750 0.750 0.750  0.33

Its crystal system is cubic. The value obtained for the distance to the lowest polymorph of the same formula is 1004 meV/atom. The spin magnetization comes out at 3.99 μB per cell. Its space group is F-43m (216).

No. 12
## BaZrTe (PBE-GGA)

Data for a geometry-optimized BaZrTe structure.

Cell lengths 5.321, 5.321, 5.321 Å; angles 60.00, 60.00, 60.00 degrees
Site moments in Bohr magnetons follow the coordinates.
Atoms (fractional coordinates):
Zr 0.000 0.000 0.000  1.05
Ba 0.500 0.500 0.500  0.10
Te 0.750 0.750 0.750  -0.04

Its crystal system is cubic. The value obtained for the distance to the lowest polymorph of the same formula is 387 meV/atom. The spin magnetization comes out at 1.82 μB per cell. Its space group is F-43m (216).

D(E_F): 1.110, 1.297, 1.440, 1.448, 1.320, 1.275, 1.151, 1.583, 0.821, 1.124, 1.293, 0.635 (states/eV per atom)